A plane-wave DFT calculation with PBE was carried out for a relaxed structure of LiTb2Sm3S6.

The structure in POSCAR format:
```
LiTb2Sm3S6
1.0
3.407 -5.920 0.000
3.407 5.920 0.000
-2.289 0.000 6.473
Li Tb Sm S
1 2 3 6
Direct
0.000 0.000 0.000
0.334 0.666 0.000
0.666 0.334 0.000
0.166 0.834 0.500
0.500 0.500 0.500
0.834 0.166 0.500
0.079 0.406 0.239
0.246 0.246 0.764
0.406 0.079 0.239
0.594 0.921 0.761
0.754 0.754 0.236
0.921 0.594 0.761
```

formation energy from raw total energies: -1.969 eV/atom
total moment: 0.0 μB per formula unit
V: 21.8 Å³/atom
space-group type: C2/m, No. 12

A plane-wave DFT calculation with PBE was carried out for a relaxed structure of NdIn4.

The structure in POSCAR format:
```
NdIn4
1.0
6.008 0.000 0.000
0.000 6.008 0.000
0.000 0.000 6.008
Nd In
1 4
Direct
0.000 0.000 0.000
0.000 0.000 0.500
0.000 0.500 0.000
0.500 0.000 0.000
0.500 0.500 0.500
```

energy relative to the elements: 0.57 eV per atom
total moment: 0.0 μB per formula unit
V: 43.4 Å³/atom
space-group type: Pm-3m, No. 221